(1)
A geometry-optimized MgMn2Ir2 structure, computed with GGA-PBE.

Summary:
DOS(E_F) = 4.74 states/eV per cell
electronic total energy = -7.476 eV/atom
ΔH_f (0 K) = 5 kJ/mol of atoms
theoretical density = 11.4 g cm⁻³

Lattice parameters (Å, degrees): 5.5819 5.5819 5.5819 138.47 138.47 60.19
With the nearest neighbours (Å) after each atom.
Positions (direct):
Mg1 0.0000 0.0000 0.0000  8 Mn 2.96, 8 Ir 3.12
Mn1 0.4000 0.4000 0.0000  1 Mn 1.93
Mn2 0.6000 0.6000 0.0000  1 Mn 1.93
Ir1 0.2500 0.7500 0.5000  4 Mn 2.45
Ir2 0.7500 0.2500 0.5000  4 Mn 2.45

(2)
A geometry-optimized LaTaTlRe2 structure, computed with GGA-PBE.

Summary:
DOS(E_F) = 8.33 states/eV per cell
electronic total energy = -6.151 eV/atom
ΔH_f (0 K) = 256 kJ/mol of atoms
theoretical density = 12.4 g cm⁻³

Lattice parameters (Å, degrees): 4.8646 4.8646 5.0809 90.00 90.00 90.00
With the nearest neighbours (Å) after each atom.
Positions (direct):
La1 0.0000 0.0000 0.0000  4 Re 2.43, 2 Ta 2.54
Ta1 0.0000 0.0000 0.5000  2 La 2.54
Tl1 0.5000 0.5000 0.5000  4 Ta 3.44, 8 Re 3.52
Re1 0.0000 0.5000 0.0000  2 La 2.43
Re2 0.5000 0.0000 0.0000  2 La 2.43

(3)
A geometry-optimized CdSbP structure, computed with GGA-PBE.

Summary:
DOS(E_F) = 0.61 states/eV per cell
electronic total energy = -3.315 eV/atom
uncorrected formation energy = 167 meV/atom
theoretical density = 5.0 g cm⁻³

Lattice parameters (Å, degrees): 9.1739 9.1739 9.1739 30.41 30.41 30.41
With the nearest neighbours (Å) after each atom.
Positions (direct):
Cd1 0.1115 0.1115 0.1115  4 P 2.78-3.02
Cd2 0.8885 0.8885 0.8885  4 P 2.78-3.02
Sb1 0.3233 0.3233 0.3233  1 P 2.54, 3 Sb 2.83
Sb2 0.6767 0.6767 0.6767  1 P 2.54, 3 Sb 2.83
P1 0.2265 0.2265 0.2265  1 Sb 2.54, 3 Cd 2.78
P2 0.7735 0.7735 0.7735  1 Sb 2.54, 3 Cd 2.78

(4)
A geometry-optimized Tm3HgPb3 structure, computed with GGA-PBE.

Summary:
DOS(E_F) = 11.30 states/eV per cell
electronic total energy = -3.781 eV/atom
ΔH_f (0 K) = -22 kJ/mol of atoms
theoretical density = 11.4 g cm⁻³

Lattice parameters (Å, degrees): 8.8054 8.8054 5.7580 90.00 90.00 120.00
With the nearest neighbours (Å) after each atom.
Positions (direct):
Tm1 0.0902 0.6363 0.2500  5 Pb 3.15-3.36, 3 Hg 3.33-3.52, 2 Tm 3.50
Tm2 0.3637 0.4540 0.2500  5 Pb 3.15-3.36, 3 Hg 3.33-3.52, 2 Tm 3.50
Tm3 0.4540 0.0902 0.7500  5 Pb 3.15-3.36, 3 Hg 3.33-3.52, 2 Tm 3.50
Tm4 0.5460 0.9098 0.2500  5 Pb 3.15-3.36, 3 Hg 3.33-3.52, 2 Tm 3.50
Tm5 0.6363 0.5460 0.7500  5 Pb 3.15-3.36, 3 Hg 3.33-3.52, 2 Tm 3.50
Tm6 0.9098 0.3637 0.7500  5 Pb 3.15-3.36, 3 Hg 3.33-3.52, 2 Tm 3.50
Hg1 0.3333 0.6667 0.7500  3 Pb 3.18, 9 Tm 3.33-3.52
Hg2 0.6667 0.3333 0.2500  3 Pb 3.18, 9 Tm 3.33-3.52
Pb1 0.0553 0.7963 0.7500  5 Tm 3.15-3.36, 1 Hg 3.18
Pb2 0.2037 0.2590 0.7500  5 Tm 3.15-3.36, 1 Hg 3.18
Pb3 0.2590 0.0553 0.2500  5 Tm 3.15-3.36, 1 Hg 3.18
Pb4 0.7410 0.9447 0.7500  5 Tm 3.15-3.36, 1 Hg 3.18
Pb5 0.7963 0.7410 0.2500  5 Tm 3.15-3.36, 1 Hg 3.18
Pb6 0.9447 0.2037 0.2500  5 Tm 3.15-3.36, 1 Hg 3.18

(5)
A geometry-optimized LaTbCu3 structure, computed with GGA-PBE.

Summary:
DOS(E_F) = 7.46 states/eV per cell
electronic total energy = -4.594 eV/atom
ΔH_f (0 K) = -22 kJ/mol of atoms
theoretical density = 7.6 g cm⁻³

Lattice parameters (Å, degrees): 12.9544 12.9544 4.3690 90.00 90.00 163.08
With the nearest neighbours (Å) after each atom.
Positions (direct):
La1 0.0731 0.9269 0.7500  12 Cu 3.14-3.23
La2 0.9269 0.0731 0.2500  12 Cu 3.14-3.23
Tb1 0.2054 0.7946 0.2500  7 Cu 2.87-3.06
Tb2 0.7946 0.2054 0.7500  7 Cu 2.87-3.06
Cu1 0.3249 0.6751 0.2500  2 Cu 2.58
Cu2 0.3785 0.6215 0.7500  3 Cu 2.50-2.58
Cu3 0.4759 0.5241 0.7500  3 Cu 2.50-2.51
Cu4 0.5241 0.4759 0.2500  3 Cu 2.50-2.51
Cu5 0.6215 0.3785 0.2500  3 Cu 2.50-2.58
Cu6 0.6751 0.3249 0.7500  2 Cu 2.58

(6)
A geometry-optimized AgPbAu3 structure, computed with GGA-PBE.

Summary:
DOS(E_F) = 2.99 states/eV per cell
electronic total energy = -3.306 eV/atom
ΔH_f (0 K) = -3 kJ/mol of atoms
theoretical density = 14.5 g cm⁻³

Lattice parameters (Å, degrees): 5.9704 4.7092 7.9052 90.00 110.53 90.00
With the nearest neighbours (Å) after each atom.
Positions (direct):
Ag1 0.1727 0.2500 0.0814  7 Au 2.84-3.02, 2 Ag 3.10
Ag2 0.8273 0.7500 0.9186  7 Au 2.84-3.02, 2 Ag 3.10
Pb1 0.2020 0.7500 0.6973  9 Au 3.06-3.18, 1 Ag 3.29
Pb2 0.7980 0.2500 0.3027  9 Au 3.06-3.18, 1 Ag 3.29
Au1 0.1448 0.7500 0.2824  3 Ag 2.84-2.88, 4 Au 2.85-2.93
Au2 0.3489 0.2500 0.4895  6 Au 2.88-3.00, 1 Ag 3.02, 3 Pb 3.10-3.17
Au3 0.4882 0.7500 0.1062  4 Au 2.85-3.00, 3 Ag 2.90-2.98, 3 Pb 3.06-3.08
Au4 0.5118 0.2500 0.8938  4 Au 2.85-3.00, 3 Ag 2.90-2.98, 3 Pb 3.06-3.08
Au5 0.6511 0.7500 0.5105  6 Au 2.88-3.00, 1 Ag 3.02, 3 Pb 3.10-3.17
Au6 0.8552 0.2500 0.7176  3 Ag 2.84-2.88, 4 Au 2.85-2.93

(7)
A geometry-optimized Th3Zn4Ni4 structure, computed with GGA-PBE.

Summary:
DOS(E_F) = 6.91 states/eV per cell
electronic total energy = -4.967 eV/atom
ΔH_f (0 K) = -36 kJ/mol of atoms
theoretical density = 9.7 g cm⁻³

Lattice parameters (Å, degrees): 3.7388 3.9978 13.9643 98.18 97.68 90.05
With the nearest neighbours (Å) after each atom.
Positions (direct):
Th1 0.0000 0.0000 0.0000  8 Ni 2.99-3.00, 4 Zn 3.22
Th2 0.1509 0.6510 0.3009  4 Ni 2.91-2.92, 4 Zn 3.12
Th3 0.8491 0.3490 0.6991  4 Ni 2.91-2.92, 4 Zn 3.12
Zn1 0.2509 0.2509 0.5016  4 Ni 2.56-2.62, 4 Zn 2.73-2.74
Zn2 0.4040 0.9035 0.8086  3 Ni 2.44-2.50
Zn3 0.5960 0.0965 0.1914  3 Ni 2.44-2.50
Zn4 0.7491 0.7491 0.4984  4 Ni 2.56-2.62, 4 Zn 2.73-2.74
Ni1 0.3124 0.8126 0.6257  5 Zn 2.50-2.62
Ni2 0.4540 0.4541 0.9108  2 Zn 2.44, 1 Ni 2.44
Ni3 0.5460 0.5459 0.0892  2 Zn 2.44, 1 Ni 2.44
Ni4 0.6876 0.1874 0.3743  5 Zn 2.50-2.62

(8)
A geometry-optimized SmHo3Sb3 structure, computed with GGA-PBE.

Summary:
DOS(E_F) = 8.71 states/eV per cell
electronic total energy = -5.293 eV/atom
uncorrected formation energy = -890 meV/atom
theoretical density = 7.8 g cm⁻³

Lattice parameters (Å, degrees): 8.0397 8.0397 8.0397 68.26 68.26 68.26
With the nearest neighbours (Å) after each atom.
Positions (direct):
Sm1 0.1658 0.1658 0.1658  6 Sb 3.18-3.21
Sm2 0.8342 0.8342 0.8342  6 Sb 3.18-3.21
Ho1 0.1527 0.6810 0.4133  5 Sb 3.05-3.25
Ho2 0.3190 0.5867 0.8473  5 Sb 3.05-3.25
Ho3 0.4133 0.1527 0.6810  5 Sb 3.05-3.25
Ho4 0.5867 0.8473 0.3190  5 Sb 3.05-3.25
Ho5 0.6810 0.4133 0.1527  5 Sb 3.05-3.25
Ho6 0.8473 0.3190 0.5867  5 Sb 3.05-3.25
Sb1 0.0334 0.4213 0.7975  5 Ho 3.05-3.25, 2 Sm 3.18-3.21
Sb2 0.2025 0.9666 0.5787  5 Ho 3.05-3.25, 2 Sm 3.18-3.21
Sb3 0.4213 0.7975 0.0334  5 Ho 3.05-3.25, 2 Sm 3.18-3.21
Sb4 0.5787 0.2025 0.9666  5 Ho 3.05-3.25, 2 Sm 3.18-3.21
Sb5 0.7975 0.0334 0.4213  5 Ho 3.05-3.25, 2 Sm 3.18-3.21
Sb6 0.9666 0.5787 0.2025  5 Ho 3.05-3.25, 2 Sm 3.18-3.21

(9)
A geometry-optimized HPd6Pb2 structure, computed with GGA-PBE.

Summary:
DOS(E_F) = 3.07 states/eV per cell
electronic total energy = -4.929 eV/atom
theoretical density = 12.4 g cm⁻³

Lattice parameters (Å, degrees): 5.8409 5.8409 5.8409 60.00 60.00 60.00
With the nearest neighbours (Å) after each atom.
Positions (direct):
H1 0.0000 0.0000 0.0000  6 Pd 2.08
Pd1 0.2512 0.2512 0.7488  1 H 2.08
Pd2 0.2512 0.7488 0.2512  1 H 2.08
Pd3 0.2512 0.7488 0.7488  1 H 2.08
Pd4 0.7488 0.2512 0.2512  1 H 2.08
Pd5 0.7488 0.2512 0.7488  1 H 2.08
Pd6 0.7488 0.7488 0.2512  1 H 2.08
Pb1 0.2500 0.2500 0.2500  12 Pd 2.92
Pb2 0.7500 0.7500 0.7500  12 Pd 2.92

(10)
A geometry-optimized Nd4TlBiC structure, computed with GGA-PBE.

Summary:
DOS(E_F) = 5.24 states/eV per cell
electronic total energy = -5.376 eV/atom
ΔH_f (0 K) = -43 kJ/mol of atoms
theoretical density = 7.9 g cm⁻³

Lattice parameters (Å, degrees): 9.0030 9.0030 7.1330 90.00 90.00 133.30
With the nearest neighbours (Å) after each atom.
Positions (direct):
Nd1 0.0000 0.5000 0.0000  2 C 2.52
Nd2 0.0000 0.5000 0.5000  2 C 2.52
Nd3 0.0876 0.9124 0.7500  1 C 2.69
Nd4 0.4077 0.5923 0.7500  1 C 2.60
Nd5 0.5000 0.0000 0.0000  2 C 2.52
Nd6 0.5000 0.0000 0.5000  2 C 2.52
Nd7 0.5923 0.4077 0.2500  1 C 2.60
Nd8 0.9124 0.0876 0.2500  1 C 2.69
Tl1 0.1121 0.8879 0.2500  9 Nd 3.30-3.59
Tl2 0.8879 0.1121 0.7500  9 Nd 3.30-3.59
Bi1 0.3918 0.6082 0.2500  9 Nd 3.31-3.58
Bi2 0.6082 0.3918 0.7500  9 Nd 3.31-3.58
C1 0.2505 0.7495 0.7500  6 Nd 2.52-2.69
C2 0.7495 0.2505 0.2500  6 Nd 2.52-2.69

(11)
A geometry-optimized SrZrTa2 structure, computed with GGA-PBE.

Summary:
DOS(E_F) = 4.54 states/eV per cell
electronic total energy = -7.918 eV/atom
ΔH_f (0 K) = 55 kJ/mol of atoms
theoretical density = 9.0 g cm⁻³

Lattice parameters (Å, degrees): 3.0881 4.6798 7.0177 90.00 99.44 90.00
With the nearest neighbours (Å) after each atom.
Positions (direct):
Sr1 0.0000 0.0000 0.0000  2 Sr 3.09, 3 Ta 3.37-3.45
Zr1 0.2081 0.5000 0.6607  3 Ta 2.72-2.92
Ta1 0.5218 0.0000 0.4746  2 Ta 2.75, 2 Zr 2.92
Ta2 0.7157 0.5000 0.3017  1 Zr 2.72, 2 Ta 2.75

(12)
A geometry-optimized NiBr structure, computed with GGA-PBE.

Summary:
DOS(E_F) = 7.23 states/eV per cell
electronic total energy = -3.865 eV/atom
uncorrected formation energy = -138 meV/atom
theoretical density = 4.4 g cm⁻³

Lattice parameters (Å, degrees): 7.8188 7.8188 7.8188 93.06 93.06 153.29
With the nearest neighbours (Å) after each atom.
Positions (direct):
Ni1 0.0712 0.5939 0.6651  3 Br 2.41-2.45, 5 Ni 2.54-2.55
Ni2 0.4061 0.0712 0.4773  3 Br 2.41-2.45, 5 Ni 2.54-2.55
Ni3 0.5939 0.9288 0.5227  3 Br 2.41-2.45, 5 Ni 2.54-2.55
Ni4 0.9288 0.4061 0.3349  3 Br 2.41-2.45, 5 Ni 2.54-2.55
Br1 0.2419 0.4428 0.6847  3 Ni 2.41-2.45
Br2 0.4428 0.7581 0.2008  3 Ni 2.41-2.45
Br3 0.5572 0.2419 0.7992  3 Ni 2.41-2.45
Br4 0.7581 0.5572 0.3153  3 Ni 2.41-2.45

(13)
A geometry-optimized CdCu2Pb structure, computed with GGA-PBE.

Summary:
DOS(E_F) = 1.28 states/eV per cell
electronic total energy = -2.934 eV/atom
ΔH_f (0 K) = 26 kJ/mol of atoms
theoretical density = 9.9 g cm⁻³

Lattice parameters (Å, degrees): 5.3264 5.3264 5.3264 134.70 134.70 66.00
With the nearest neighbours (Å) after each atom.
Positions (direct):
Cd1 0.0000 0.0000 0.0000  8 Cu 2.90-3.03, 4 Pb 3.03
Cu1 0.2500 0.7500 0.5000  4 Pb 2.90, 4 Cu 3.03, 4 Cd 3.03
Cu2 0.5000 0.5000 0.0000  4 Cd 2.90, 4 Pb 3.03, 4 Cu 3.03
Pb1 0.7500 0.2500 0.5000  8 Cu 2.90-3.03, 4 Cd 3.03

(14)
A geometry-optimized Li2TePb3O6 structure, computed with GGA-PBE.

Summary:
electronic total energy = -5.048 eV/atom
uncorrected formation energy = -1061 meV/atom
theoretical density = 7.0 g cm⁻³

Lattice parameters (Å, degrees): 6.0967 6.0967 6.3248 90.00 90.00 120.00
With the nearest neighbours (Å) after each atom.
Positions (direct):
Li1 0.3333 0.6667 0.1536  3 O 1.94
Li2 0.6667 0.3333 0.8464  3 O 1.94
Te1 0.0000 0.0000 0.5000  6 O 2.22
Pb1 0.0000 0.0000 0.0000  6 O 2.62
Pb2 0.3333 0.6667 0.5727  3 O 2.44, 1 Li 2.65
Pb3 0.6667 0.3333 0.4273  3 O 2.44, 1 Li 2.65
O1 0.1717 0.3434 0.2980  1 Li 1.94
O2 0.1717 0.8283 0.2980  1 Li 1.94
O3 0.3434 0.1717 0.7020  1 Li 1.94
O4 0.6566 0.8283 0.2980  1 Li 1.94
O5 0.8283 0.1717 0.7020  1 Li 1.94
O6 0.8283 0.6566 0.7020  1 Li 1.94

(15)
A geometry-optimized LiInTc2 structure, computed with GGA-PBE.

Summary:
DOS(E_F) = 4.60 states/eV per cell
electronic total energy = -6.096 eV/atom
ΔH_f (0 K) = 24 kJ/mol of atoms
theoretical density = 8.5 g cm⁻³

Lattice parameters (Å, degrees): 3.7114 3.7114 4.5098 90.00 90.00 90.00
With the nearest neighbours (Å) after each atom.
Positions (direct):
Li1 0.0000 0.0000 0.0000  4 In 2.62, 8 Tc 2.92
In1 0.5000 0.5000 0.0000  4 Li 2.62, 8 Tc 2.92
Tc1 0.0000 0.5000 0.5000  4 Tc 2.62, 4 Li 2.92, 4 In 2.92
Tc2 0.5000 0.0000 0.5000  4 Tc 2.62, 4 Li 2.92, 4 In 2.92

(16)
A geometry-optimized Cs2Sc2Cl7 structure, computed with GGA-PBE.

Summary:
DOS(E_F) = 0.65 states/eV per cell
electronic total energy = -4.454 eV/atom
uncorrected formation energy = -1973 meV/atom
theoretical density = 2.2 g cm⁻³

Lattice parameters (Å, degrees): 8.8694 8.8694 7.4053 97.39 97.39 125.69
With the nearest neighbours (Å) after each atom.
Positions (direct):
Cs1 0.1857 0.8143 0.0000  6 Cl 3.48-3.52
Cs2 0.8143 0.1857 0.0000  6 Cl 3.48-3.52
Sc1 0.2265 0.2265 0.6076  5 Cl 2.44-2.61
Sc2 0.7735 0.7735 0.3924  5 Cl 2.44-2.61
Cl1 0.0485 0.0485 0.2737  2 Sc 2.49-2.61
Cl2 0.1486 0.4303 0.7438  1 Sc 2.44
Cl3 0.4303 0.1486 0.7438  1 Sc 2.44
Cl4 0.5000 0.5000 0.5000  2 Sc 2.56
Cl5 0.5697 0.8514 0.2562  1 Sc 2.44
Cl6 0.8514 0.5697 0.2562  1 Sc 2.44
Cl7 0.9515 0.9515 0.7263  2 Sc 2.49-2.61

(17)
A geometry-optimized SrGa2TcGe structure, computed with GGA-PBE.

Summary:
DOS(E_F) = 2.10 states/eV per cell
electronic total energy = -4.837 eV/atom
ΔH_f (0 K) = -28 kJ/mol of atoms
theoretical density = 5.8 g cm⁻³

Lattice parameters (Å, degrees): 4.8694 4.8694 4.8256 90.00 90.00 90.00
With the nearest neighbours (Å) after each atom.
Positions (direct):
Sr1 0.0000 0.0000 0.0000  8 Ga 3.43, 4 Ge 3.44
Ga1 0.0000 0.5000 0.5000  2 Tc 2.43
Ga2 0.5000 0.0000 0.5000  2 Tc 2.43
Tc1 0.5000 0.5000 0.5000  2 Ge 2.41, 4 Ga 2.43
Ge1 0.5000 0.5000 0.0000  2 Tc 2.41

(18)
A geometry-optimized RbSrAs2Se structure, computed with GGA-PBE.

Summary:
DOS(E_F) = 6.28 states/eV per cell
electronic total energy = -2.550 eV/atom
uncorrected formation energy = 537 meV/atom
theoretical density = 3.7 g cm⁻³

Lattice parameters (Å, degrees): 5.5554 5.5554 5.8371 90.00 90.00 90.00
With the nearest neighbours (Å) after each atom.
Positions (direct):
Rb1 0.0000 0.0000 0.0000  4 As 2.78, 2 Se 2.92
Sr1 0.5000 0.5000 0.5000  4 Se 3.93, 8 As 4.03
As1 0.0000 0.5000 0.0000  2 Rb 2.78
As2 0.5000 0.0000 0.0000  2 Rb 2.78
Se1 0.0000 0.0000 0.5000  2 Rb 2.92

(19)
A geometry-optimized CdIn4Br structure, computed with GGA-PBE.

Summary:
DOS(E_F) = 2.54 states/eV per cell
electronic total energy = -2.248 eV/atom
uncorrected formation energy = 9 meV/atom
theoretical density = 6.1 g cm⁻³

Lattice parameters (Å, degrees): 6.3119 6.3119 6.3119 60.00 60.00 60.00
With the nearest neighbours (Å) after each atom.
Positions (direct):
Cd1 0.0000 0.0000 0.0000  12 In 3.70, 4 Br 3.87
In1 0.1243 0.6252 0.6252  6 In 3.15-3.16
In2 0.6252 0.1243 0.6252  6 In 3.15-3.16
In3 0.6252 0.6252 0.1243  6 In 3.15-3.16
In4 0.6252 0.6252 0.6252  6 In 3.15-3.16
Br1 0.2500 0.2500 0.2500  12 In 3.70, 4 Cd 3.87

(20)
A geometry-optimized SrLaSn2 structure, computed with GGA-PBE.

Summary:
DOS(E_F) = 6.38 states/eV per cell
electronic total energy = -4.360 eV/atom
ΔH_f (0 K) = -68 kJ/mol of atoms
theoretical density = 5.8 g cm⁻³

Lattice parameters (Å, degrees): 4.4525 6.5166 9.1587 90.00 90.00 90.00
With the nearest neighbours (Å) after each atom.
Positions (direct):
Sr1 0.0000 0.1291 0.0000  6 Sn 3.32-3.71
Sr2 0.0000 0.8709 0.5000  6 Sn 3.32-3.71
La1 0.5000 0.3629 0.6345  7 Sn 3.38-3.64
La2 0.5000 0.6371 0.1345  7 Sn 3.38-3.64
Sn1 0.0000 0.4035 0.3570  2 Sn 2.99, 1 Sr 3.32
Sn2 0.0000 0.5965 0.8570  2 Sn 2.99, 1 Sr 3.32
Sn3 0.5000 0.1177 0.2800  2 Sn 2.99
Sn4 0.5000 0.8823 0.7800  2 Sn 2.99